# SrGdAl4Ni2

An optimized crystal structure of SrGdAl4Ni2 (GGA-PBE, OQMD via LeMat-Bulk).

The structure in POSCAR format:
```
SrGdAl4Ni2
1.0
7.068 0.000 0.000
0.000 2.036 5.341
0.000 -2.036 5.341
Sr Gd Al Ni
1 1 4 2
direct
0.000 0.000 0.000
0.500 0.897 0.897
0.197 0.279 0.279
0.313 0.620 0.620
0.687 0.620 0.620
0.803 0.279 0.279
0.000 0.729 0.729
0.500 0.168 0.168
```

Space-group type: Amm2
Uncorrected energy (eV/cell): -36.42



# PrGdAg2

An optimized crystal structure of PrGdAg2 (GGA-PBE, OQMD via LeMat-Bulk).

The structure in POSCAR format:
```
PrGdAg2
1.0
3.702 0.000 0.000
0.000 3.702 0.000
0.000 0.000 7.453
Pr Gd Ag
1 1 2
direct
0.000 0.000 0.000
0.000 0.000 0.500
0.500 0.500 0.266
0.500 0.500 0.734
```

Energy of formation (meV/atom): -289
Space-group type: P4/mmm
Uncorrected energy (eV/cell): -16.23



# TbBiN2O

An optimized crystal structure of TbBiN2O (GGA-PBE, OQMD via LeMat-Bulk).

The structure in POSCAR format:
```
TbBiN2O
1.0
5.748 0.000 0.000
2.873 5.079 0.000
2.766 1.748 5.117
Tb Bi N O
2 2 4 2
direct
0.000 0.000 0.000
0.276 0.274 0.183
0.504 0.467 0.530
0.782 0.786 0.653
0.179 0.606 0.360
0.408 0.086 0.837
0.665 0.419 0.829
0.872 0.178 0.345
0.076 0.668 0.862
0.598 0.872 0.337
```

Space-group type: P1
Uncorrected energy (eV/cell): -66.98



# CsThW

An optimized crystal structure of CsThW (GGA-PBE, OQMD via LeMat-Bulk).

The structure in POSCAR format:
```
CsThW
1.0
0.000 3.584 3.584
3.584 0.000 3.584
3.584 3.584 0.000
Cs Th W
1 1 1
direct
0.000 0.000 0.000
0.750 0.750 0.750
0.250 0.250 0.250
```

Space-group type: F-43m
Uncorrected energy (eV/cell): -13.52



# LuHgSO

An optimized crystal structure of LuHgSO (GGA-PBE, OQMD via LeMat-Bulk).

The structure in POSCAR format:
```
LuHgSO
1.0
7.157 0.000 0.000
0.000 7.018 0.000
-0.618 0.000 6.371
Lu Hg S O
4 4 4 4
direct
0.022 0.137 0.293
0.022 0.363 0.793
0.978 0.637 0.207
0.978 0.863 0.707
0.469 0.692 0.997
0.469 0.808 0.497
0.531 0.192 0.503
0.531 0.308 0.003
0.246 0.069 0.961
0.246 0.431 0.461
0.754 0.569 0.539
0.754 0.931 0.039
0.096 0.645 0.914
0.096 0.855 0.414
0.904 0.145 0.586
0.904 0.355 0.086
```

Space-group type: P2_1/c
Uncorrected energy (eV/cell): -84.05



# Pa2Sb2O5

An optimized crystal structure of Pa2Sb2O5 (GGA-PBE, OQMD via LeMat-Bulk).

The structure in POSCAR format:
```
Pa2Sb2O5
1.0
4.125 0.000 0.000
0.000 4.125 0.000
0.000 0.000 7.898
Pa Sb O
2 2 5
direct
0.000 0.000 0.000
0.000 0.000 0.500
0.500 0.500 0.214
0.500 0.500 0.786
0.000 0.500 0.305
0.000 0.500 0.695
0.500 0.000 0.305
0.500 0.000 0.695
0.500 0.500 0.500
```

Space-group type: P4/mmm
Uncorrected energy (eV/cell): -61.42



# ZnPIrO

An optimized crystal structure of ZnPIrO (GGA-PBE, OQMD via LeMat-Bulk).

The structure in POSCAR format:
```
ZnPIrO
1.0
3.521 0.000 0.000
0.000 3.521 0.000
0.000 0.000 8.439
Zn P Ir O
2 2 2 2
direct
0.250 0.750 0.000
0.750 0.250 0.000
0.250 0.250 0.228
0.750 0.750 0.772
0.250 0.250 0.655
0.750 0.750 0.345
0.250 0.750 0.500
0.750 0.250 0.500
```

Space-group type: P4/nmm
Uncorrected energy (eV/cell): -38.35



# ReS2

An optimized crystal structure of ReS2 (GGA-PBE, OQMD via LeMat-Bulk).

The structure in POSCAR format:
```
ReS2
1.0
8.719 0.000 0.000
0.000 3.095 0.000
0.000 0.000 9.803
Re S
4 8
direct
0.139 0.250 0.017
0.361 0.750 0.517
0.639 0.250 0.483
0.861 0.750 0.983
0.017 0.750 0.169
0.172 0.250 0.465
0.328 0.750 0.965
0.483 0.250 0.669
0.517 0.750 0.331
0.672 0.250 0.035
0.828 0.750 0.535
0.983 0.250 0.831
```

Space-group type: Pnma
Uncorrected energy (eV/cell): -85.46



# Tc2Hg2Bi

An optimized crystal structure of Tc2Hg2Bi (GGA-PBE, OQMD via LeMat-Bulk).

The structure in POSCAR format:
```
Tc2Hg2Bi
1.0
4.279 0.000 0.000
0.000 4.279 0.000
0.000 0.000 5.936
Tc Hg Bi
2 2 1
direct
0.000 0.000 0.189
0.000 0.000 0.811
0.000 0.500 0.500
0.500 0.000 0.500
0.500 0.500 0.000
```

Space-group type: P4/mmm
Uncorrected energy (eV/cell): -21.94



# SrBeCo

An optimized crystal structure of SrBeCo (GGA-PBE, OQMD via LeMat-Bulk).

The structure in POSCAR format:
```
SrBeCo
1.0
0.000 3.130 3.130
3.130 0.000 3.130
3.130 3.130 0.000
Sr Be Co
1 1 1
direct
0.000 0.000 0.000
0.750 0.750 0.750
0.500 0.500 0.500
```

Space-group type: F-43m
Uncorrected energy (eV/cell): -9.85



# ZnCoCuMo

An optimized crystal structure of ZnCoCuMo (GGA-PBE, OQMD via LeMat-Bulk).

The structure in POSCAR format:
```
ZnCoCuMo
1.0
0.000 2.950 2.950
2.950 0.000 2.950
2.950 2.950 0.000
Zn Co Cu Mo
1 1 1 1
direct
0.000 0.000 0.000
0.250 0.250 0.250
0.750 0.750 0.750
0.500 0.500 0.500
```

Energy of formation (meV/atom): 125
Space-group type: F-43m
Uncorrected energy (eV/cell): -22.44



# SmCuAg

An optimized crystal structure of SmCuAg (GGA-PBE, OQMD via LeMat-Bulk).

The structure in POSCAR format:
```
SmCuAg
1.0
0.000 3.382 3.382
3.382 0.000 3.382
3.382 3.382 0.000
Sm Cu Ag
1 1 1
direct
0.000 0.000 0.000
0.250 0.250 0.250
0.750 0.750 0.750
```

Energy of formation (meV/atom): 276
Space-group type: F-43m
Uncorrected energy (eV/cell): -10.42



# Ta2Se3S

An optimized crystal structure of Ta2Se3S (GGA-PBE, OQMD via LeMat-Bulk).

The structure in POSCAR format:
```
Ta2Se3S
1.0
5.966 0.000 0.000
0.000 3.437 0.000
-2.966 0.000 11.616
Ta Se S
2 3 1
direct
0.000 0.000 0.000
0.477 0.500 0.000
0.248 0.000 0.849
0.750 0.500 0.857
0.892 0.500 0.143
0.390 0.000 0.130
```

Space-group type: Pm
Uncorrected energy (eV/cell): -43.55



# Sc2Nb4Zn3C3

An optimized crystal structure of Sc2Nb4Zn3C3 (GGA-PBE, OQMD via LeMat-Bulk).

The structure in POSCAR format:
```
Sc2Nb4Zn3C3
1.0
4.782 -2.763 0.000
4.782 2.763 0.000
-3.274 0.000 13.940
Sc Nb Zn C
4 8 6 6
direct
0.035 0.876 0.603
0.124 0.965 0.897
0.876 0.035 0.103
0.965 0.124 0.397
0.193 0.354 0.082
0.298 0.481 0.418
0.354 0.193 0.582
0.481 0.298 0.918
0.519 0.702 0.082
0.646 0.807 0.418
0.702 0.519 0.582
0.807 0.646 0.918
0.086 0.393 0.752
0.393 0.086 0.252
0.434 0.566 0.250
0.566 0.434 0.750
0.607 0.914 0.748
0.914 0.607 0.248
0.000 0.500 0.500
0.168 0.664 0.000
0.336 0.832 0.500
0.500 0.000 0.000
0.664 0.168 0.500
0.832 0.336 0.000
```

Space-group type: C2/c
Uncorrected energy (eV/cell): -180.01



# RbGdCdSe3

An optimized crystal structure of RbGdCdSe3 (GGA-PBE, OQMD via LeMat-Bulk).

The structure in POSCAR format:
```
RbGdCdSe3
1.0
9.039 -2.143 0.000
9.039 2.143 0.000
-2.141 0.000 9.166
Rb Gd Cd Se
2 2 2 6
direct
0.145 0.145 0.066
0.855 0.855 0.934
0.171 0.171 0.582
0.829 0.829 0.418
0.493 0.493 0.281
0.507 0.507 0.719
0.000 0.000 0.500
0.334 0.334 0.631
0.337 0.337 0.219
0.500 0.500 0.000
0.663 0.663 0.781
0.666 0.666 0.369
```

Space-group type: C2/m
Uncorrected energy (eV/cell): -49.17



# ZrZnB4

An optimized crystal structure of ZrZnB4 (GGA-PBE, OQMD via LeMat-Bulk).

The structure in POSCAR format:
```
ZrZnB4
1.0
3.113 0.000 0.000
-1.557 2.696 0.000
0.000 0.000 7.065
Zr Zn B
1 1 4
direct
0.000 0.000 0.000
0.000 0.000 0.500
0.333 0.667 0.253
0.333 0.667 0.747
0.667 0.333 0.253
0.667 0.333 0.747
```

Space-group type: P6/mmm
Uncorrected energy (eV/cell): -37.87



# YHo3Ni4

An optimized crystal structure of YHo3Ni4 (GGA-PBE, OQMD via LeMat-Bulk).

The structure in POSCAR format:
```
YHo3Ni4
1.0
5.408 0.000 0.000
0.000 4.169 0.000
-0.002 0.000 7.036
Y Ho Ni
1 3 4
direct
0.000 0.000 0.000
0.240 0.000 0.500
0.500 0.500 0.141
0.740 0.500 0.641
0.246 0.500 0.782
0.495 0.000 0.858
0.745 0.000 0.358
0.995 0.500 0.283
```

Energy of formation (meV/atom): -468
Space-group type: Pm
Uncorrected energy (eV/cell): -46.21



# GdHoSn2Au2

An optimized crystal structure of GdHoSn2Au2 (GGA-PBE, OQMD via LeMat-Bulk).

The structure in POSCAR format:
```
GdHoSn2Au2
1.0
4.704 0.000 0.000
-2.352 4.074 0.000
0.000 0.000 7.439
Gd Ho Sn Au
1 1 2 2
direct
0.000 0.000 0.000
0.000 0.000 0.499
0.333 0.667 0.225
0.667 0.333 0.723
0.333 0.667 0.819
0.667 0.333 0.327
```

Space-group type: P3m1
Uncorrected energy (eV/cell): -28.72



# Pd3S

An optimized crystal structure of Pd3S (GGA-PBE, OQMD via LeMat-Bulk).

The structure in POSCAR format:
```
Pd3S
1.0
3.723 -2.710 0.000
3.723 2.710 0.000
0.000 0.000 6.415
Pd S
6 2
direct
0.000 0.000 0.000
0.000 0.000 0.500
0.151 0.459 0.750
0.459 0.151 0.250
0.541 0.849 0.750
0.849 0.541 0.250
0.310 0.690 0.250
0.690 0.310 0.750
```

Space-group type: Cmcm
Uncorrected energy (eV/cell): -41.05



# HgPtNO

An optimized crystal structure of HgPtNO (GGA-PBE, OQMD via LeMat-Bulk).

The structure in POSCAR format:
```
HgPtNO
1.0
4.205 0.000 0.000
0.000 4.205 0.000
0.000 0.000 7.403
Hg Pt N O
2 2 2 2
direct
0.250 0.750 0.000
0.750 0.250 0.000
0.250 0.250 0.428
0.750 0.750 0.572
0.250 0.250 0.166
0.750 0.750 0.834
0.250 0.750 0.500
0.750 0.250 0.500
```

Space-group type: P4/nmm
Uncorrected energy (eV/cell): -32.58